Entry 1:
Entry from Alexandria: a relaxed structure of RuAu2Br (PBE).

Cell: 6.695 6.695 6.695 Å, 154.84 141.84 46.26°
Each line ends with the local moment (μB).
Element x y z (fractional)
Ru 0.250 0.750 0.500  0.76
Au 0.050 0.050 0.000  0.02
Au 0.450 0.450 0.000  0.02
Br 0.750 0.250 0.500  0.03

Relative energy among the computed polymorphs: 3.097 kcal/mol of atoms
Final energy: -3.834 eV/atom

Entry 2:
Entry from Alexandria: a relaxed structure of RuAu2Br (PBE).

Cell: 6.192 6.192 3.021 Å, 75.97 75.97 127.83°
Each line ends with the local moment (μB).
Element x y z (fractional)
Ru 0.000 0.500 0.500  0.93
Au 0.000 0.000 0.000  0.01
Au 0.500 0.500 0.000  0.01
Br 0.500 0.000 0.500  0.04

Relative energy among the computed polymorphs: 6.479 kcal/mol of atoms
Final energy: -3.687 eV/atom

Entry 3:
Entry from Alexandria: a relaxed structure of RuAu2Br (PBE).

Cell: 5.775 5.775 5.775 Å, 140.61 140.61 56.93°
Each line ends with the local moment (μB).
Element x y z (fractional)
Ru 0.750 0.250 0.500  1.67
Au 0.000 0.000 0.000  0.03
Au 0.500 0.500 0.000  0.03
Br 0.250 0.750 0.500  0.05

Relative energy among the computed polymorphs: 9.030 kcal/mol of atoms
Final energy: -3.577 eV/atom

Entry 4:
Entry from Alexandria: a relaxed structure of RuAu2Br (PBE).

Cell: 3.004 3.004 10.311 Å, 90.00 90.00 122.24°
Element x y z (fractional)
Ru 0.500 0.500 0.750
Au 0.000 0.000 0.976
Au 0.500 0.500 0.220
Br 0.000 0.000 0.554

Relative energy among the computed polymorphs: 2.289 kcal/mol of atoms
Final energy: -3.869 eV/atom

Entry 5:
Entry from Alexandria: a relaxed structure of RuAu2Br (PBE).

Cell: 5.522 5.522 2.841 Å, 90.00 90.00 120.74°
Each line ends with the local moment (μB).
Element x y z (fractional)
Ru 0.000 0.500 0.500  1.18
Au 0.000 0.000 0.000  0.01
Au 0.500 0.500 0.000  0.01
Br 0.500 0.000 0.500  -0.04

Relative energy among the computed polymorphs: 7.745 kcal/mol of atoms
Final energy: -3.632 eV/atom

Entry 6:
Entry from Alexandria: a relaxed structure of RuAuBr2 (PBE).

Cell: 3.299 4.172 7.639 Å, 74.41 90.00 90.00°
Element x y z (fractional)
Ru 0.000 0.272 0.580
Au 0.500 0.727 0.672
Br 0.000 0.106 0.916
Br 0.500 0.394 0.331

Relative energy among the computed polymorphs: 0.782 kcal/mol of atoms
Final energy: -3.747 eV/atom

Entry 7:
Entry from Alexandria: a relaxed structure of RuAu2Br (PBE).

Cell: 3.922 3.922 4.938 Å, 90.00 90.00 90.00°
Each line ends with the local moment (μB).
Element x y z (fractional)
Ru 0.000 0.500 0.500  1.66
Au 0.000 0.000 0.000  0.04
Au 0.500 0.500 0.000  0.04
Br 0.500 0.000 0.500  0.05

Relative energy among the computed polymorphs: 8.849 kcal/mol of atoms
Final energy: -3.585 eV/atom

Entry 8:
Entry from Alexandria: a relaxed structure of RuAu2Br (PBE).

Cell: 3.034 3.034 8.315 Å, 90.00 90.00 90.00°
Each line ends with the local moment (μB).
Element x y z (fractional)
Ru 0.500 0.500 0.746  0.23
Au 0.000 0.000 0.976  0.01
Au 0.500 0.500 0.212  0.00
Br 0.000 0.000 0.567  0.03

Relative energy among the computed polymorphs: 1.940 kcal/mol of atoms
Final energy: -3.884 eV/atom

Entry 9:
Entry from Alexandria: a relaxed structure of RuAuBr2 (PBE).

Cell: 8.710 8.710 6.720 Å, 49.60 49.60 90.00°
Element x y z (fractional)
Ru 0.500 0.500 0.000
Ru 0.250 0.750 0.500
Au 0.000 0.000 0.000
Au 0.750 0.250 0.500
Br 0.482 0.125 0.250
Br 0.268 0.625 0.250
Br 0.375 0.518 0.750
Br 0.875 0.732 0.750

Relative energy among the computed polymorphs: 4.235 kcal/mol of atoms
Final energy: -3.597 eV/atom

Entry 10:
Entry from Alexandria: a relaxed structure of RuAu2Br (PBE).

Cell: 5.338 3.095 4.564 Å, 88.78 90.00 90.00°
Each line ends with the local moment (μB).
Element x y z (fractional)
Ru 0.500 0.750 0.750  1.02
Au 0.000 0.996 0.994  0.02
Au 0.000 0.504 0.506  0.02
Br 0.500 0.250 0.250  0.03

Relative energy among the computed polymorphs: 6.652 kcal/mol of atoms
Final energy: -3.680 eV/atom

Entry 11:
Entry from Alexandria: a relaxed structure of RuAuBr2 (PBE).

Cell: 4.929 4.929 4.929 Å, 60.00 60.00 60.00°
Each line ends with the local moment (μB).
Element x y z (fractional)
Ru 0.000 0.000 0.000  2.54
Au 0.500 0.500 0.500  0.03
Br 0.250 0.250 0.250  0.14
Br 0.750 0.750 0.750  0.14

Relative energy among the computed polymorphs: 14.684 kcal/mol of atoms
Final energy: -3.144 eV/atom

Entry 12:
Entry from Alexandria: a relaxed structure of RuAu2Br (PBE).

Cell: 4.734 4.734 4.734 Å, 119.88 119.88 90.20°
Each line ends with the local moment (μB).
Element x y z (fractional)
Ru 0.750 0.250 0.500  2.12
Au 0.000 0.000 0.000  0.12
Au 0.250 0.750 0.500  0.04
Br 0.500 0.500 0.000  0.11

Relative energy among the computed polymorphs: 8.251 kcal/mol of atoms
Final energy: -3.610 eV/atom

Q: The lowest final energy belongs to which entry?
A: number 8

Repeat the eleventh record exactly.
Entry from Alexandria: a relaxed structure of RuAuBr2 (PBE).

Cell: 4.929 4.929 4.929 Å, 60.00 60.00 60.00°
Each line ends with the local moment (μB).
Element x y z (fractional)
Ru 0.000 0.000 0.000  2.54
Au 0.500 0.500 0.500  0.03
Br 0.250 0.250 0.250  0.14
Br 0.750 0.750 0.750  0.14

Relative energy among the computed polymorphs: 14.684 kcal/mol of atoms
Final energy: -3.144 eV/atom